A relaxed MnBeRu2 crystal. Source: the Alexandria database, functional PBE-GGA.

Results
size of the total moment: 1.62 μB/cell
symmetry: I-4m2, No. 119
E_tot: -7.869 eV/atom
DFT formation energy: -0.029 eV/f.u.

```
data_MnBeRu2
_chemical_formula_sum 'Mn1 Be1 Ru2'
_cell_length_a 4.702
_cell_length_b 4.702
_cell_length_c 4.702
_cell_angle_alpha 136.35
_cell_angle_beta 136.35
_cell_angle_gamma 63.43
_symmetry_space_group_name_H-M 'P 1'
_symmetry_Int_Tables_number 1
loop_
_symmetry_equiv_pos_as_xyz
'x,y,z'
loop_
_atom_site_label
_atom_site_type_symbol
_atom_site_fract_x
_atom_site_fract_y
_atom_site_fract_z
_atom_site_occupancy
Ru1 Ru 0.000 0.000 0.000 1
Ru2 Ru 0.250 0.750 0.500 1
Mn1 Mn 0.750 0.250 0.500 1
Be1 Be 0.500 0.500 0.000 1
```

---

A relaxed MnBe2SnRu crystal. Source: the Alexandria database, functional PBE-GGA.

Results
size of the total moment: 0.16 μB/cell
symmetry: P4/mmm, No. 123
E_tot: -4.100 eV/atom
DFT formation energy: 9.400 eV/f.u.

```
data_MnBe2SnRu
_chemical_formula_sum 'Mn1 Be2 Sn1 Ru1'
_cell_length_a 4.267
_cell_length_b 4.955
_cell_length_c 4.267
_cell_angle_alpha 90.00
_cell_angle_beta 90.00
_cell_angle_gamma 90.00
_symmetry_space_group_name_H-M 'P 1'
_symmetry_Int_Tables_number 1
loop_
_symmetry_equiv_pos_as_xyz
'x,y,z'
loop_
_atom_site_label
_atom_site_type_symbol
_atom_site_fract_x
_atom_site_fract_y
_atom_site_fract_z
_atom_site_occupancy
Ru1 Ru 0.000 0.500 0.000 1
Mn1 Mn 0.500 0.500 0.500 1
Sn1 Sn 0.000 0.000 0.000 1
Be1 Be 0.000 0.000 0.500 1
Be2 Be 0.500 0.000 0.000 1
```

---

A relaxed TiMnBe2Ru crystal. Source: the Alexandria database, functional PBE-GGA.

Results
size of the total moment: 2.23 μB/cell
symmetry: P4/mmm, No. 123
E_tot: -6.125 eV/atom
DFT formation energy: 3.169 eV/f.u.

```
data_TiMnBe2Ru
_chemical_formula_sum 'Ti1 Mn1 Be2 Ru1'
_cell_length_a 4.117
_cell_length_b 4.518
_cell_length_c 4.117
_cell_angle_alpha 90.00
_cell_angle_beta 90.00
_cell_angle_gamma 90.00
_symmetry_space_group_name_H-M 'P 1'
_symmetry_Int_Tables_number 1
loop_
_symmetry_equiv_pos_as_xyz
'x,y,z'
loop_
_atom_site_label
_atom_site_type_symbol
_atom_site_fract_x
_atom_site_fract_y
_atom_site_fract_z
_atom_site_occupancy
Ru1 Ru 0.000 0.000 0.000 1
Mn1 Mn 0.000 0.500 0.000 1
Be1 Be 0.000 0.000 0.500 1
Be2 Be 0.500 0.000 0.000 1
Ti1 Ti 0.500 0.500 0.500 1
```

---

A relaxed TiMnBeRu2 crystal. Source: the Alexandria database, functional PBE-GGA.

Results
size of the total moment: 0.00 μB/cell
symmetry: P4/mmm, No. 123
E_tot: -6.886 eV/atom
DFT formation energy: 4.911 eV/f.u.

```
data_TiMnBeRu2
_chemical_formula_sum 'Ti1 Mn1 Be1 Ru2'
_cell_length_a 4.403
_cell_length_b 4.272
_cell_length_c 4.403
_cell_angle_alpha 90.00
_cell_angle_beta 90.00
_cell_angle_gamma 90.00
_symmetry_space_group_name_H-M 'P 1'
_symmetry_Int_Tables_number 1
loop_
_symmetry_equiv_pos_as_xyz
'x,y,z'
loop_
_atom_site_label
_atom_site_type_symbol
_atom_site_fract_x
_atom_site_fract_y
_atom_site_fract_z
_atom_site_occupancy
Ru1 Ru 0.000 0.000 0.500 1
Ru2 Ru 0.500 0.000 0.000 1
Mn1 Mn 0.000 0.000 0.000 1
Be1 Be 0.500 0.500 0.500 1
Ti1 Ti 0.000 0.500 0.000 1
```

---

A relaxed MnBeRuW crystal. Source: the Alexandria database, functional PBE-GGA.

Results
size of the total moment: 0.81 μB/cell
symmetry: F-43m, No. 216
E_tot: -8.844 eV/atom
DFT formation energy: -0.249 eV/f.u.

```
data_MnBeRuW
_chemical_formula_sum 'Mn1 Be1 Ru1 W1'
_cell_length_a 4.154
_cell_length_b 4.154
_cell_length_c 4.154
_cell_angle_alpha 60.00
_cell_angle_beta 60.00
_cell_angle_gamma 60.00
_symmetry_space_group_name_H-M 'P 1'
_symmetry_Int_Tables_number 1
loop_
_symmetry_equiv_pos_as_xyz
'x,y,z'
loop_
_atom_site_label
_atom_site_type_symbol
_atom_site_fract_x
_atom_site_fract_y
_atom_site_fract_z
_atom_site_occupancy
Ru1 Ru 0.750 0.750 0.750 1
Mn1 Mn 0.250 0.250 0.250 1
W1 W 0.000 0.000 0.000 1
Be1 Be 0.500 0.500 0.500 1
```

---

A relaxed MnBe2Ru5W2 crystal. Source: the Alexandria database, functional PBE-GGA.

Results
size of the total moment: 4.27 μB/cell
symmetry: P4/mbm, No. 127
E_tot: -9.001 eV/atom
DFT formation energy: -1.107 eV/f.u.

```
data_MnBe2Ru5W2
_chemical_formula_sum 'Mn2 Be4 Ru10 W4'
_cell_length_a 2.994
_cell_length_b 9.281
_cell_length_c 9.281
_cell_angle_alpha 90.00
_cell_angle_beta 90.00
_cell_angle_gamma 90.00
_symmetry_space_group_name_H-M 'P 1'
_symmetry_Int_Tables_number 1
loop_
_symmetry_equiv_pos_as_xyz
'x,y,z'
loop_
_atom_site_label
_atom_site_type_symbol
_atom_site_fract_x
_atom_site_fract_y
_atom_site_fract_z
_atom_site_occupancy
Mn1 Mn 0.000 0.000 0.000 1
Mn2 Mn 0.000 0.500 0.500 1
Be1 Be 0.000 0.123 0.623 1
Be2 Be 0.000 0.877 0.377 1
Be3 Be 0.000 0.623 0.877 1
Be4 Be 0.000 0.377 0.123 1
Ru1 Ru 0.500 0.207 0.072 1
Ru2 Ru 0.500 0.793 0.928 1
Ru3 Ru 0.500 0.072 0.793 1
Ru4 Ru 0.500 0.707 0.428 1
Ru5 Ru 0.500 0.928 0.207 1
Ru6 Ru 0.500 0.293 0.572 1
Ru7 Ru 0.500 0.572 0.707 1
Ru8 Ru 0.500 0.428 0.293 1
Ru9 Ru 0.500 0.500 0.000 1
Ru10 Ru 0.500 0.000 0.500 1
W1 W 0.000 0.676 0.176 1
W2 W 0.000 0.324 0.824 1
W3 W 0.000 0.176 0.324 1
W4 W 0.000 0.824 0.676 1
```

---

A relaxed Y2MnBeRu crystal. Source: the Alexandria database, functional PBE-GGA.

Results
size of the total moment: 4.14 μB/cell
symmetry: P4/mmm, No. 123
E_tot: -6.646 eV/atom
DFT formation energy: 1.869 eV/f.u.

```
data_Y2MnBeRu
_chemical_formula_sum 'Y2 Mn1 Be1 Ru1'
_cell_length_a 5.284
_cell_length_b 4.283
_cell_length_c 5.284
_cell_angle_alpha 90.00
_cell_angle_beta 90.00
_cell_angle_gamma 90.00
_symmetry_space_group_name_H-M 'P 1'
_symmetry_Int_Tables_number 1
loop_
_symmetry_equiv_pos_as_xyz
'x,y,z'
loop_
_atom_site_label
_atom_site_type_symbol
_atom_site_fract_x
_atom_site_fract_y
_atom_site_fract_z
_atom_site_occupancy
Y1 Y 0.000 0.000 0.500 1
Y2 Y 0.500 0.000 0.000 1
Ru1 Ru 0.000 0.000 0.000 1
Mn1 Mn 0.500 0.500 0.500 1
Be1 Be 0.000 0.500 0.000 1
```

---

A relaxed MnBeZn2Ru crystal. Source: the Alexandria database, functional PBE-GGA.

Results
size of the total moment: 3.35 μB/cell
symmetry: P4/mmm, No. 123
E_tot: -4.332 eV/atom
DFT formation energy: 3.058 eV/f.u.

```
data_MnBeZn2Ru
_chemical_formula_sum 'Mn1 Be1 Zn2 Ru1'
_cell_length_a 4.086
_cell_length_b 4.077
_cell_length_c 4.086
_cell_angle_alpha 90.00
_cell_angle_beta 90.00
_cell_angle_gamma 90.00
_symmetry_space_group_name_H-M 'P 1'
_symmetry_Int_Tables_number 1
loop_
_symmetry_equiv_pos_as_xyz
'x,y,z'
loop_
_atom_site_label
_atom_site_type_symbol
_atom_site_fract_x
_atom_site_fract_y
_atom_site_fract_z
_atom_site_occupancy
Ru1 Ru 0.500 0.500 0.500 1
Zn1 Zn 0.000 0.000 0.500 1
Zn2 Zn 0.500 0.000 0.000 1
Mn1 Mn 0.000 0.500 0.000 1
Be1 Be 0.000 0.000 0.000 1
```

---

A relaxed Zr2MnBe2Ru5 crystal. Source: the Alexandria database, functional PBE-GGA.

Results
size of the total moment: 3.89 μB/cell
symmetry: P4/mbm, No. 127
E_tot: -8.388 eV/atom
DFT formation energy: -3.784 eV/f.u.

```
data_Zr2MnBe2Ru5
_chemical_formula_sum 'Zr4 Mn2 Be4 Ru10'
_cell_length_a 3.179
_cell_length_b 9.379
_cell_length_c 9.379
_cell_angle_alpha 90.00
_cell_angle_beta 90.00
_cell_angle_gamma 90.00
_symmetry_space_group_name_H-M 'P 1'
_symmetry_Int_Tables_number 1
loop_
_symmetry_equiv_pos_as_xyz
'x,y,z'
loop_
_atom_site_label
_atom_site_type_symbol
_atom_site_fract_x
_atom_site_fract_y
_atom_site_fract_z
_atom_site_occupancy
Zr1 Zr 0.000 0.674 0.174 1
Zr2 Zr 0.000 0.326 0.826 1
Zr3 Zr 0.000 0.174 0.326 1
Zr4 Zr 0.000 0.826 0.674 1
Mn1 Mn 0.000 0.000 0.000 1
Mn2 Mn 0.000 0.500 0.500 1
Be1 Be 0.000 0.124 0.624 1
Be2 Be 0.000 0.876 0.376 1
Be3 Be 0.000 0.624 0.876 1
Be4 Be 0.000 0.376 0.124 1
Ru1 Ru 0.500 0.206 0.070 1
Ru2 Ru 0.500 0.794 0.930 1
Ru3 Ru 0.500 0.070 0.794 1
Ru4 Ru 0.500 0.706 0.430 1
Ru5 Ru 0.500 0.930 0.206 1
Ru6 Ru 0.500 0.294 0.570 1
Ru7 Ru 0.500 0.570 0.706 1
Ru8 Ru 0.500 0.430 0.294 1
Ru9 Ru 0.500 0.500 0.000 1
Ru10 Ru 0.500 0.000 0.500 1
```

---

A relaxed ZrMn2BeRu crystal. Source: the Alexandria database, functional PBE-GGA.

Results
size of the total moment: 6.18 μB/cell
symmetry: P4/mmm, No. 123
E_tot: -6.233 eV/atom
DFT formation energy: 8.723 eV/f.u.

```
data_ZrMn2BeRu
_chemical_formula_sum 'Zr1 Mn2 Be1 Ru1'
_cell_length_a 4.718
_cell_length_b 4.728
_cell_length_c 4.718
_cell_angle_alpha 90.00
_cell_angle_beta 90.00
_cell_angle_gamma 90.00
_symmetry_space_group_name_H-M 'P 1'
_symmetry_Int_Tables_number 1
loop_
_symmetry_equiv_pos_as_xyz
'x,y,z'
loop_
_atom_site_label
_atom_site_type_symbol
_atom_site_fract_x
_atom_site_fract_y
_atom_site_fract_z
_atom_site_occupancy
Ru1 Ru 0.000 0.500 0.000 1
Mn1 Mn 0.000 0.000 0.500 1
Mn2 Mn 0.500 0.000 0.000 1
Zr1 Zr 0.000 0.000 0.000 1
Be1 Be 0.500 0.500 0.500 1
```

---

A relaxed Mn2BeS crystal. Source: the Alexandria database, functional PBE-GGA.

Results
size of the total moment: 0.59 μB/cell
symmetry: Fm-3m, No. 225
E_tot: -6.491 eV/atom
energy relative to the elements, uncorrected: 0.06 eV/atom

```
data_Mn2BeS
_chemical_formula_sum 'Mn2 Be1 S1'
_cell_length_a 3.802
_cell_length_b 3.802
_cell_length_c 3.802
_cell_angle_alpha 60.00
_cell_angle_beta 60.00
_cell_angle_gamma 60.00
_symmetry_space_group_name_H-M 'P 1'
_symmetry_Int_Tables_number 1
loop_
_symmetry_equiv_pos_as_xyz
'x,y,z'
loop_
_atom_site_label
_atom_site_type_symbol
_atom_site_fract_x
_atom_site_fract_y
_atom_site_fract_z
_atom_site_occupancy
Be1 Be 0.000 0.000 0.000 1
S1 S 0.500 0.500 0.500 1
Mn1 Mn 0.250 0.250 0.250 1
Mn2 Mn 0.750 0.750 0.750 1
```

---

A relaxed Mn4BeS6 crystal. Source: the Alexandria database, functional PBE-GGA.

Results
size of the total moment: 36.10 μB/cell
symmetry: Cc, No. 9
E_tot: -6.450 eV/atom
energy relative to the elements, uncorrected: -0.53 eV/atom

```
data_Mn4BeS6
_chemical_formula_sum 'Mn8 Be2 S12'
_cell_length_a 6.653
_cell_length_b 6.494
_cell_length_c 11.612
_cell_angle_alpha 77.02
_cell_angle_beta 73.36
_cell_angle_gamma 59.19
_symmetry_space_group_name_H-M 'P 1'
_symmetry_Int_Tables_number 1
loop_
_symmetry_equiv_pos_as_xyz
'x,y,z'
loop_
_atom_site_label
_atom_site_type_symbol
_atom_site_fract_x
_atom_site_fract_y
_atom_site_fract_z
_atom_site_occupancy
Mn1 Mn 0.357 0.941 0.611 1
Mn2 Mn 0.091 0.441 0.111 1
Mn3 Mn 0.777 0.151 0.470 1
Mn4 Mn 0.602 0.651 0.970 1
Mn5 Mn 0.966 0.651 0.681 1
Mn6 Mn 0.702 0.151 0.181 1
Mn7 Mn 0.602 0.250 0.816 1
Mn8 Mn 0.332 0.750 0.316 1
Be1 Be 0.711 0.776 0.391 1
Be2 Be 0.123 0.276 0.891 1
S1 S 0.365 0.552 0.150 1
S2 S 0.933 0.052 0.650 1
S3 S 0.530 0.591 0.488 1
S4 S 0.391 0.091 0.988 1
S5 S 0.460 0.142 0.418 1
S6 S 0.980 0.642 0.918 1
S7 S 0.832 0.213 0.958 1
S8 S 0.998 0.713 0.458 1
S9 S 0.008 0.155 0.261 1
S10 S 0.576 0.655 0.761 1
S11 S 0.301 0.264 0.711 1
S12 S 0.725 0.764 0.211 1
```